Li2ZrZn: relaxed, PBE.

Calculated values
* Fermi-level density of states: 1.87 states/eV per cell
* E_form: 0.03 eV/atom
* volume: 18.18 Å³ per atom

Geometry as CIF:
```
data_Li2ZrZn
_cell_length_a 2.7205
_cell_length_b 4.3042
_cell_length_c 6.2144
_cell_angle_alpha 90.00
_cell_angle_beta 92.47
_cell_angle_gamma 90.00
_space_group_name_H-M_alt 'P 1 m 1'
_space_group_IT_number 6
_space_group_name_Hall 'P -2y'
loop_
_atom_site_label
_atom_site_fract_x
_atom_site_fract_y
_atom_site_fract_z
Li1 0.0000 0.0000 0.0000
Li2 0.4795 0.5000 0.2264
Zr1 0.9971 0.0000 0.5296
Zn1 0.5165 0.5000 0.7550
```